CoPtNF2: optimized geometry, PBE+U. Values from VASP.

Computed properties:
The calculation puts the total magnetization at 2.3 μB per formula unit. The polymorph energy (0 for the lowest one) is 11 meV/atom. The value obtained for the volume is 14.95 Å³/atom.

Quantum ESPRESSO input file:
```
&SYSTEM
  ibrav = 0, nat = 5, ntyp = 4
/
ATOMIC_SPECIES
N 14.01 N.upf
F 19.00 F.upf
Co 58.93 Co.upf
Pt 195.08 Pt.upf
ATOMIC_POSITIONS crystal
N 0.000 0.000 0.500
F 0.500 0.000 0.000
F 0.000 0.500 0.000
Co 0.500 0.500 0.500
Pt 0.000 0.000 0.000
CELL_PARAMETERS angstrom
-4.311 0.912 0.898
0.172 -2.713 3.582
1.042 2.851 2.109
```